The following is a DFT calculation (GGA-PBE) of YSc3Bi2 after structural relaxation.

Cell and atoms, written as extended XYZ:
```
12
Lattice="8.9079 -2.1553 0.0000 8.9079 2.1553 0.0000 -3.5283 0.0000 8.3589" Properties=species:S:1:pos:R:3 pbc="T T T"
Y 1.5566 0.0000 0.9985
Y 12.7310 0.0000 7.3604
Sc -1.2086 0.0000 5.6370
Sc 5.1337 0.0000 0.8665
Sc 4.5963 0.0000 4.2710
Sc 9.6912 0.0000 4.0879
Sc 9.1539 0.0000 7.4924
Sc 15.4962 0.0000 2.7219
Bi 1.9091 0.0000 5.9679
Bi 8.1102 0.0000 1.4425
Bi 6.1774 0.0000 6.9164
Bi 12.3785 0.0000 2.3910
```

Computed properties:
magnetization = 0.07 μB per atom
final energy = -71.860 eV/cell
space group = C2/m (12)
formation energy from the elements = -0.45 eV per atom